HoThRh2: optimized geometry, GGA-PBE.

Computed properties:
formation enthalpy at 0 K = -3.34 eV per formula unit
DFT total energy = -30.04 eV for the cell shown
energy above the most stable polymorph in this dataset = 36 kJ/mol of formula units
M_tot = 0.00 Bohr magnetons per cell

Lattice parameters (Å, degrees): 4.933 4.933 3.516 90.00 90.00 90.00
Space group P4/mmm (No. 123)
Unique sites:
Ho 0.000 0.000 0.000
Th 0.500 0.500 0.000
Rh 0.000 0.500 0.500

Ho2ThRh2: optimized geometry, GGA-PBE.

Computed properties:
formation enthalpy at 0 K = -3.46 eV per formula unit
DFT total energy = -138.94 eV for the cell shown
M_tot = 0.00 Bohr magnetons per cell

Lattice parameters (Å, degrees): 3.870 26.443 4.584 90.00 90.00 90.00
Space group Cmcm (No. 63)
Unique sites:
Ho 0.000 0.051 0.250
Ho 0.000 0.262 0.750
Th 0.000 0.364 0.250
Rh 0.000 0.161 0.250
Rh 0.000 0.464 0.250